KTl2ZnRh after structural relaxation, computed with PBE-GGA.

a = 5.298 Å, b = 5.298 Å, c = 5.026 Å
α = 90.00°, β = 90.00°, γ = 90.00°
Element x y z (fractional)
K  0.000  0.000  0.000
Tl  0.000  0.500  0.500
Tl  0.500  0.000  0.500
Zn  0.500  0.500  0.000
Rh  0.500  0.500  0.500

Results
Its total DFT energy (no corrections) is -14.95 eV per formula unit.

---

K2VRh after structural relaxation, computed with PBE-GGA.

a = 9.024 Å, b = 9.024 Å, c = 9.024 Å
α = 93.73°, β = 93.73°, γ = 150.44°
Element x y z (fractional)
K  0.375  0.203  0.328
K  0.797  0.125  0.172
K  0.875  0.047  0.672
K  0.953  0.625  0.828
V  0.250  0.750  0.500
V  0.500  0.500  0.000
Rh  0.000  0.000  0.000
Rh  0.750  0.250  0.500

Results
Its total DFT energy (no corrections) is -15.49 eV per formula unit.

---

KV2Rh after structural relaxation, computed with PBE-GGA.

a = 8.918 Å, b = 8.918 Å, c = 8.918 Å
α = 144.75°, β = 144.75°, γ = 50.71°
Element x y z (fractional)
K  0.375  0.625  0.750
K  0.625  0.375  0.250
V  0.000  0.000  0.000
V  0.000  0.000  0.500
V  0.000  0.500  0.000
V  0.500  0.000  0.500
Rh  0.125  0.875  0.250
Rh  0.875  0.125  0.750

Results
Its total DFT energy (no corrections) is -22.07 eV per formula unit.

---

K2VRh after structural relaxation, computed with PBE-GGA.

a = 5.406 Å, b = 5.406 Å, c = 5.406 Å
α = 60.00°, β = 60.00°, γ = 60.00°
Element x y z (fractional)
K  0.250  0.250  0.250
K  0.750  0.750  0.750
V  0.000  0.000  0.000
Rh  0.500  0.500  0.500

Results
Its total DFT energy (no corrections) is -13.21 eV per formula unit.

---

KV2Rh after structural relaxation, computed with PBE-GGA.

a = 4.561 Å, b = 4.561 Å, c = 4.561 Å
α = 60.00°, β = 60.00°, γ = 60.00°
Element x y z (fractional)
K  0.000  0.000  0.000
V  0.250  0.250  0.250
V  0.750  0.750  0.750
Rh  0.500  0.500  0.500

Results
Its total DFT energy (no corrections) is -22.11 eV per formula unit.

---

K3VRh after structural relaxation, computed with PBE-GGA.

a = 5.991 Å, b = 5.991 Å, c = 5.991 Å
α = 90.00°, β = 90.00°, γ = 90.00°
Element x y z (fractional)
K  0.000  0.000  0.500
K  0.000  0.500  0.000
K  0.500  0.000  0.000
V  0.500  0.500  0.500
Rh  0.000  0.000  0.000

Results
Its total DFT energy (no corrections) is -13.48 eV per formula unit.

---

KVZn2Rh after structural relaxation, computed with PBE-GGA.

a = 4.982 Å, b = 4.982 Å, c = 4.743 Å
α = 90.00°, β = 90.00°, γ = 90.00°
Element x y z (fractional)
K  0.000  0.000  0.000
V  0.000  0.000  0.500
Zn  0.000  0.500  0.000
Zn  0.500  0.000  0.000
Rh  0.500  0.500  0.500

Results
Its total DFT energy (no corrections) is -9.89 eV per formula unit.

---

K2RhW after structural relaxation, computed with PBE-GGA.

a = 11.892 Å, b = 11.892 Å, c = 11.892 Å
α = 13.89°, β = 13.89°, γ = 13.89°
Element x y z (fractional)
K  0.243  0.243  0.243
K  0.757  0.757  0.757
Rh  0.500  0.500  0.500
W  0.000  0.000  0.000

Results
Its total DFT energy (no corrections) is -17.74 eV per formula unit.

---

| no. | formation energy (eV per atom) | V (Å³ per cell) |
| --- | --- | --- |
| 1 | -0.10 | 141.1 |
| 2 | 0.79 | 350.5 |
| 3 | 1.15 | 235.0 |
| 4 | 1.36 | 111.7 |
| 5 | 1.14 | 67.1 |
| 6 | 1.26 | 215.1 |
| 7 | 2.05 | 117.7 |
| 8 | 1.19 | 84.4 |